1.
A plane-wave DFT calculation with PBE was carried out for an optimized crystal structure of AcMg2Sn2.

Cell: 4.6595 4.6595 6.5058 Å, 90.00 90.00 90.00°
With the nearest neighbours (Å) after each atom.
Space group P4/mmm (No. 123)
Unique sites:
Ac  0.0000  0.0000  0.0000 (multiplicity 1)  8 Sn 3.59, 8 Mg 4.00
Mg  0.0000  0.5000  0.5000 (multiplicity 2)  4 Sn 2.96, 4 Mg 3.29
Sn  0.5000  0.5000  0.2189 (multiplicity 2)  1 Sn 2.85, 4 Mg 2.96

**V**: 141.2 Å³/f.u.
**Energy relative to the elements**: -0.4483 eV/atom
**ΔE to the lowest computed polymorph**: 27 meV per atom
**Density**: 6.0 g cm⁻³
**Calculated total energy**: -3.509 eV per atom



2.
A plane-wave DFT calculation with PBE was carried out for an optimized crystal structure of Ac4MgSn2.

Cell: 8.8908 10.9833 5.4191 Å, 90.00 90.00 90.00°
With the nearest neighbours (Å) after each atom.
Space group Cmmm (No. 65)
Unique sites:
Ac  0.2352  0.0000  0.0000 (multiplicity 4)  4 Sn 3.52-3.56, 2 Mg 3.59, 4 Ac 3.86
Ac  0.2500  0.2500  0.5000 (multiplicity 4)  4 Sn 3.51, 2 Mg 3.53, 4 Ac 3.86
Mg  0.0000  0.5000  0.5000 (multiplicity 2)  8 Ac 3.53-3.59, 4 Sn 3.76
Sn  0.0000  0.2623  0.0000 (multiplicity 4)  8 Ac 3.51-3.56, 2 Mg 3.76

**V**: 264.6 Å³/f.u.
**Energy relative to the elements**: -0.3654 eV/atom
**ΔE to the lowest computed polymorph**: 50 meV per atom
**Density**: 7.3 g cm⁻³
**Calculated total energy**: -4.085 eV per atom



3.
A plane-wave DFT calculation with PBE was carried out for an optimized crystal structure of Ac12MgSn6.

Cell: 15.0867 15.0867 12.8358 Å, 90.00 90.00 120.00°
With the nearest neighbours (Å) after each atom.
Space group R-3 (No. 148, hexagonal axes)
Unique sites:
Ac  0.0298  0.8291  0.3802 (multiplicity 18)  4 Sn 3.38-3.50
Ac  0.0563  0.8336  0.8932 (multiplicity 18)  1 Mg 3.32, 3 Sn 3.32-3.66, 1 Ac 3.67
Mg  0.0000  0.0000  0.0000 (multiplicity 3)  6 Ac 3.32
Sn  0.0391  0.7749  0.6416 (multiplicity 18)  7 Ac 3.32-3.66

**V**: 843.4 Å³/f.u.
**Energy relative to the elements**: -0.2720 eV/atom
**Density**: 6.8 g cm⁻³
**Calculated total energy**: -4.215 eV per atom



4.
A plane-wave DFT calculation with PBE was carried out for an optimized crystal structure of AcMg4Sn.

Cell: 8.6928 8.6928 8.6928 Å, 90.00 90.00 90.00°
With the nearest neighbours (Å) after each atom.
Space group F-43m (No. 216)
Unique sites:
Ac  0.0000  0.0000  0.0000 (multiplicity 4)  12 Mg 3.61, 4 Sn 3.76
Mg  0.1238  0.1238  0.3762 (multiplicity 16)  6 Mg 3.04-3.10
Sn  0.2500  0.2500  0.7500 (multiplicity 4)  12 Mg 3.60, 4 Ac 3.76

**V**: 164.2 Å³/f.u.
**Energy relative to the elements**: -0.0672 eV/atom
**Density**: 4.5 g cm⁻³
**Calculated total energy**: -2.482 eV per atom



5.
A plane-wave DFT calculation with PBE was carried out for an optimized crystal structure of Ac2MgSn8.

Cell: 4.9821 4.9821 12.9542 Å, 90.00 90.00 90.00°
With the nearest neighbours (Å) after each atom.
Space group P4/mmm (No. 123)
Unique sites:
Ac  0.0000  0.0000  0.1869 (multiplicity 2)  12 Sn 3.47-3.52
Mg  0.0000  0.0000  0.5000 (multiplicity 1)  8 Sn 2.98
Sn  0.0000  0.5000  0.0000 (multiplicity 2)  8 Sn 3.44-3.52, 4 Ac 3.47
Sn  0.0000  0.5000  0.3737 (multiplicity 4)  2 Mg 2.98, 1 Sn 3.27
Sn  0.5000  0.5000  0.1829 (multiplicity 2)  8 Sn 3.44-3.51, 4 Ac 3.52

**V**: 321.5 Å³/f.u.
**Energy relative to the elements**: -0.3483 eV/atom
**Density**: 7.4 g cm⁻³
**Calculated total energy**: -4.151 eV per atom



6.
A plane-wave DFT calculation with PBE was carried out for an optimized crystal structure of Ac2MgSn.

Cell: 5.5138 5.5138 4.4905 Å, 90.00 90.00 90.00°
With the nearest neighbours (Å) after each atom.
Space group P4/mmm (No. 123)
Unique sites:
Ac  0.0000  0.5000  0.0000 (multiplicity 2)  4 Sn 3.56, 4 Mg 3.56, 4 Ac 3.90
Mg  0.0000  0.0000  0.5000 (multiplicity 1)  8 Ac 3.56, 4 Sn 3.90
Sn  0.5000  0.5000  0.5000 (multiplicity 1)  8 Ac 3.56, 4 Mg 3.90

**V**: 136.5 Å³/f.u.
**Energy relative to the elements**: -0.3850 eV/atom
**ΔE to the lowest computed polymorph**: 0 meV per atom
**Density**: 7.3 g cm⁻³
**Calculated total energy**: -3.839 eV per atom



7.
A plane-wave DFT calculation with PBE was carried out for an optimized crystal structure of Ac2Mg6Sn3.

Cell: 8.7081 8.7081 4.6494 Å, 90.00 90.00 120.00°
With the nearest neighbours (Å) after each atom.
Space group P-62m (No. 189)
Unique sites:
Ac  0.3333  0.6667  0.0000 (multiplicity 2)  6 Sn 3.55, 9 Mg 3.65-3.92
Mg  0.0000  0.2802  0.5000 (multiplicity 3)  3 Sn 2.87-3.04, 4 Mg 3.18
Mg  0.0000  0.8042  0.0000 (multiplicity 3)  2 Sn 2.88, 6 Mg 2.95-3.18
Sn  0.0000  0.6097  0.5000 (multiplicity 3)  5 Mg 2.87-3.04

**V**: 305.3 Å³/f.u.
**Energy relative to the elements**: -0.3898 eV/atom
**Density**: 5.2 g cm⁻³
**Calculated total energy**: -3.098 eV per atom



8.
A plane-wave DFT calculation with PBE was carried out for an optimized crystal structure of AcMg6Sn6.

Cell: 6.3553 9.5409 11.0235 Å, 90.00 90.00 90.00°
With the nearest neighbours (Å) after each atom.
Space group Immm (No. 71)
Unique sites:
Ac  0.0000  0.0000  0.0000 (multiplicity 2)  8 Sn 3.33-3.57
Mg  0.0000  0.2263  0.5000 (multiplicity 4)  6 Sn 2.97-3.26, 4 Mg 3.19
Mg  0.2500  0.2500  0.2500 (multiplicity 8)  4 Sn 2.96-3.08, 4 Mg 3.18-3.19
Sn  0.0000  0.0000  0.3155 (multiplicity 4)  6 Mg 2.96-2.97
Sn  0.0000  0.3493  0.0000 (multiplicity 4)  1 Sn 2.88
Sn  0.0000  0.5000  0.3521 (multiplicity 4)  6 Mg 3.08, 1 Sn 3.26

**V**: 334.2 Å³/f.u.
**Energy relative to the elements**: -0.2208 eV/atom
**ΔE to the lowest computed polymorph**: 0 meV per atom
**Density**: 5.4 g cm⁻³
**Calculated total energy**: -3.120 eV per atom



Q: Which of these has the highest V?
A: Ac12MgSn6



Q: What is the V in the first record?
A: 141.2 Å³/f.u.